PaPbAu2O8 | PBE | relaxed

a b c (Å): 5.528 5.528 6.635
angles (deg): 114.62 114.62 90.00
Element x y z (fractional)
Pa: 0.000 0.000 0.000
Pb: 0.750 0.250 0.500
Au: 0.500 0.500 0.000
Au: 0.250 0.750 0.500
O: 0.702 0.849 0.065
O: 0.363 0.216 0.065
O: 0.618 0.650 0.580
O: 0.963 0.930 0.580
O: 0.070 0.382 0.420
O: 0.350 0.037 0.420
O: 0.151 0.637 0.935
O: 0.784 0.298 0.935

Raw formation energy ... -1.02 eV per atom
Calculated volume ... 13.7 Å³/atom
Spin magnetization ... 0.93 μB per formula unit
ρ ... 9.732 g cm⁻³

LiErScTe3 | PBE | relaxed

a b c (Å): 4.139 8.514 9.369
angles (deg): 104.60 90.00 90.00
Element x y z (fractional)
Li: 0.250 0.089 0.589
Li: 0.750 0.911 0.411
Er: 0.250 0.188 0.237
Er: 0.750 0.812 0.763
Sc: 0.250 0.665 0.164
Sc: 0.750 0.335 0.836
Te: 0.750 0.905 0.121
Te: 0.250 0.095 0.879
Te: 0.250 0.752 0.499
Te: 0.750 0.248 0.501
Te: 0.750 0.424 0.162
Te: 0.250 0.576 0.838

Raw formation energy ... -1.15 eV per atom
Calculated volume ... 26.6 Å³/atom
Spin magnetization ... 0.00 μB per formula unit
ρ ... 6.257 g cm⁻³

Pm3Ni2Sn7 | PBE | relaxed

a b c (Å): 4.569 4.614 13.978
angles (deg): 99.48 90.00 90.00
Element x y z (fractional)
Pm: 0.500 0.500 0.000
Pm: 0.000 0.185 0.370
Pm: 0.000 0.815 0.630
Ni: 0.500 0.630 0.257
Ni: 0.500 0.370 0.743
Sn: 0.500 0.719 0.437
Sn: 0.500 0.281 0.563
Sn: 0.000 0.590 0.179
Sn: 0.000 0.000 0.000
Sn: 0.000 0.410 0.821
Sn: 0.500 0.909 0.819
Sn: 0.500 0.091 0.181

Calculated volume ... 24.2 Å³/atom
Spin magnetization ... 0.00 μB per formula unit
DFT formation energy ... -563 meV per atom
ρ ... 7.904 g cm⁻³

AsPRhSe2 | PBE | relaxed

a b c (Å): 4.919 4.919 4.639
angles (deg): 90.00 90.00 90.00
Element x y z (fractional)
P: 0.500 0.500 0.500
As: 0.000 0.000 0.500
Rh: 0.000 0.000 0.000
Se: 0.000 0.500 0.000
Se: 0.500 0.000 0.000

E above lowest polymorph ... 0.0 meV/atom
Raw formation energy ... 0.74 eV per atom
Calculated volume ... 22.4 Å³/atom
Spin magnetization ... 0.00 μB per formula unit
ρ ... 5.426 g cm⁻³

Cd2Pt5Au | PBE | relaxed

a b c (Å): 4.109 5.722 11.423
angles (deg): 90.00 90.00 90.00
Element x y z (fractional)
Cd: 0.500 0.247 0.625
Cd: 0.500 0.753 0.375
Cd: 0.500 0.253 0.125
Cd: 0.500 0.747 0.875
Pt: 0.000 0.000 0.000
Pt: 0.000 0.500 0.500
Pt: 0.000 0.493 0.749
Pt: 0.000 0.507 0.251
Pt: 0.000 0.007 0.249
Pt: 0.000 0.993 0.751
Pt: 0.500 0.243 0.872
Pt: 0.500 0.757 0.128
Pt: 0.500 0.257 0.372
Pt: 0.500 0.743 0.628
Au: 0.000 0.000 0.500
Au: 0.000 0.500 0.000

Calculated volume ... 16.8 Å³/atom
Spin magnetization ... 0.00 μB per formula unit
DFT formation energy ... -180 meV per atom
ρ ... 17.276 g cm⁻³

BaSnPd3 | PBE | relaxed

a b c (Å): 5.819 7.146 7.146
angles (deg): 76.64 65.98 65.98
Element x y z (fractional)
Ba: 0.750 0.294 0.206
Ba: 0.250 0.706 0.794
Sn: 0.000 0.500 0.500
Sn: 0.500 0.000 0.000
Pd: 0.776 0.224 0.724
Pd: 0.276 0.224 0.724
Pd: 0.724 0.776 0.276
Pd: 0.224 0.776 0.276
Pd: 0.750 0.892 0.608
Pd: 0.250 0.108 0.392

E above lowest polymorph ... 0.0 meV/atom
Calculated volume ... 24.7 Å³/atom
Spin magnetization ... 0.00 μB per formula unit
DFT formation energy ... -586 meV per atom
ρ ... 7.731 g cm⁻³

Sm2Be4Ge3Os | PBE | relaxed

a b c (Å): 3.921 3.921 10.096
angles (deg): 90.00 90.00 90.00
Element x y z (fractional)
Sm: 0.500 0.000 0.249
Sm: 0.000 0.500 0.751
Be: 0.500 0.500 0.000
Be: 0.000 0.000 0.000
Be: 0.500 0.000 0.631
Be: 0.000 0.500 0.369
Ge: 0.000 0.000 0.500
Ge: 0.500 0.000 0.868
Ge: 0.000 0.500 0.132
Os: 0.500 0.500 0.500

Calculated volume ... 15.5 Å³/atom
Spin magnetization ... 0.00 μB per formula unit
DFT formation energy ... -360 meV per atom
ρ ... 7.971 g cm⁻³

Sm2YSc6 | PBE | relaxed

a b c (Å): 3.297 9.260 9.260
angles (deg): 60.00 89.97 89.97
Element x y z (fractional)
Sm: 0.000 0.333 0.333
Sm: 0.000 0.667 0.667
Y: 0.000 0.000 0.000
Sc: 0.499 0.000 0.332
Sc: 0.501 0.000 0.668
Sc: 0.501 0.668 0.000
Sc: 0.501 0.332 0.668
Sc: 0.501 0.668 0.332
Sc: 0.499 0.332 0.000

Calculated volume ... 27.2 Å³/atom
Spin magnetization ... 0.00 μB per formula unit
DFT formation energy ... 68 meV per atom
ρ ... 4.471 g cm⁻³

Na3PrHo2S6 | PBE | relaxed

a b c (Å): 6.988 6.988 7.084
angles (deg): 99.47 99.47 120.01
Element x y z (fractional)
Na: 0.166 0.834 0.500
Na: 0.834 0.166 0.500
Na: 0.500 0.500 0.500
Pr: 0.000 0.000 0.000
Ho: 0.333 0.667 0.000
Ho: 0.667 0.333 0.000
S: 0.924 0.579 0.772
S: 0.732 0.732 0.229
S: 0.076 0.421 0.228
S: 0.579 0.924 0.772
S: 0.268 0.268 0.771
S: 0.421 0.076 0.228

Raw formation energy ... -1.82 eV per atom
Calculated volume ... 23.6 Å³/atom
Spin magnetization ... 0.00 μB per formula unit
ρ ... 4.298 g cm⁻³

Ce2DyCu9 | PBE | relaxed

a b c (Å): 5.130 5.130 8.955
angles (deg): 73.36 73.36 60.00
Element x y z (fractional)
Ce: 0.854 0.854 0.438
Ce: 0.146 0.146 0.562
Dy: 0.000 0.000 0.000
Cu: 0.668 0.668 0.995
Cu: 0.332 0.332 0.005
Cu: 0.500 0.500 0.500
Cu: 0.422 0.422 0.240
Cu: 0.916 0.422 0.240
Cu: 0.422 0.916 0.240
Cu: 0.578 0.578 0.760
Cu: 0.578 0.084 0.760
Cu: 0.084 0.578 0.760

Calculated volume ... 16.1 Å³/atom
Spin magnetization ... 0.92 μB per formula unit
DFT formation energy ... -143 meV per atom
ρ ... 8.747 g cm⁻³

Tm3CoCu | PBE | relaxed

a b c (Å): 4.037 6.703 8.412
angles (deg): 90.00 90.00 90.00
Element x y z (fractional)
Tm: 0.750 0.750 0.061
Tm: 0.250 0.250 0.939
Tm: 0.750 0.996 0.662
Tm: 0.750 0.504 0.662
Tm: 0.250 0.004 0.338
Tm: 0.250 0.496 0.338
Co: 0.750 0.750 0.387
Co: 0.250 0.250 0.613
Cu: 0.750 0.250 0.174
Cu: 0.250 0.750 0.826

E above lowest polymorph ... 60.5 meV/atom
Calculated volume ... 22.8 Å³/atom
Spin magnetization ... 0.00 μB per formula unit
DFT formation energy ... -135 meV per atom
ρ ... 9.182 g cm⁻³

SrAcPmSn | PBE | relaxed

a b c (Å): 5.826 5.826 5.826
angles (deg): 60.00 60.00 60.00
Element x y z (fractional)
Sr: 0.500 0.500 0.500
Ac: 0.750 0.750 0.750
Sn: 0.250 0.250 0.250
Pm: 0.000 0.000 0.000

Calculated volume ... 35.0 Å³/atom
Spin magnetization ... 0.90 μB per formula unit
DFT formation energy ... -83 meV per atom
ρ ... 6.867 g cm⁻³